# SrCdHgSe2

A relaxed SrCdHgSe2 crystal (PBE, the Alexandria database).

extended XYZ file:
```
5
Lattice="5.375 0.000 0.000 0.000 5.959 0.000 0.000 0.000 5.375" Properties=species:S:1:pos:R:3 pbc="T T T"
Sr 0.000 2.980 0.000
Hg 0.000 0.000 0.000
Se 0.000 0.000 2.687
Se 2.687 0.000 0.000
Cd 2.687 2.980 2.687
```

ΔE_f (raw), meV per atom: -38.1
V, A^3/atom: 34.43
E, eV per formula unit: -10.1
SG: P4/mmm (123)

***

# TaCdHg2Se

A relaxed TaCdHg2Se crystal (PBE, the Alexandria database).

extended XYZ file:
```
5
Lattice="5.191 0.000 0.000 0.000 5.191 0.000 0.000 0.000 5.474" Properties=species:S:1:pos:R:3 pbc="T T T"
Cd 0.000 0.000 0.000
Hg 0.000 2.596 0.000
Hg 2.596 0.000 0.000
Se 2.596 2.596 2.737
Ta 0.000 0.000 2.737
```

ΔE_f (raw), meV per atom: 1192.5
V, A^3/atom: 29.51
E, eV per formula unit: -10.9
SG: P4/mmm (123)

***

# CdHg2Te2Se

A relaxed CdHg2Te2Se crystal (PBE, the Alexandria database).

extended XYZ file:
```
12
Lattice="7.534 0.000 0.000 0.000 7.942 0.000 0.000 -3.971 6.888" Properties=species:S:1:pos:R:3 pbc="T T T"
Cd 2.448 6.753 0.000
Cd 6.215 1.190 0.000
Hg 6.031 5.345 2.227
Hg 6.031 1.374 4.660
Hg 2.264 2.597 2.227
Hg 2.264 -1.374 4.660
Te 1.373 5.322 2.244
Te 1.373 1.351 4.644
Te 5.140 -1.351 4.644
Te 5.140 2.621 2.244
Se 5.145 6.662 0.000
Se 1.378 1.280 0.000
```

ΔE_f (raw), meV per atom: -288.0
V, A^3/atom: 34.35
E, eV per formula unit: -13.0
SG: Cmc2_1 (36)

***

# CdHgTeSe

A relaxed CdHgTeSe crystal (PBE, the Alexandria database).

extended XYZ file:
```
4
Lattice="4.547 0.000 0.000 2.274 3.938 0.000 2.274 1.313 7.421" Properties=species:S:1:pos:R:3 pbc="T T T"
Cd 6.821 3.938 0.635
Hg 4.547 2.625 4.124
Te 2.274 1.313 5.183
Se 4.547 2.625 1.410
```

ΔE_f (raw), meV per atom: -361.2
V, A^3/atom: 33.22
E, eV per formula unit: -9.3
SG: R3m (160)

***

# Cd2HgTe2Se

A relaxed Cd2HgTe2Se crystal (PBE, the Alexandria database).

extended XYZ file:
```
12
Lattice="7.518 0.000 0.000 0.000 7.936 0.000 0.000 -3.968 6.873" Properties=species:S:1:pos:R:3 pbc="T T T"
Cd 6.022 5.363 2.181
Cd 6.022 1.395 4.692
Cd 2.262 2.573 2.181
Cd 2.262 -1.395 4.692
Hg 2.422 6.658 0.000
Hg 6.181 1.278 0.000
Te 1.366 5.289 2.279
Te 1.366 1.321 4.594
Te 5.125 -1.321 4.594
Te 5.125 2.647 2.279
Se 5.157 6.666 0.000
Se 1.397 1.270 0.000
```

ΔE_f (raw), meV per atom: -387.4
V, A^3/atom: 34.17
E, eV per formula unit: -14.2
SG: Cmc2_1 (36)

***

# TlCd2HgSe

A relaxed TlCd2HgSe crystal (PBE, the Alexandria database).

extended XYZ file:
```
5
Lattice="-0.340 -2.111 -5.559 -2.171 -4.566 1.867 -5.440 2.357 -0.562" Properties=species:S:1:pos:R:3 pbc="T T T"
Tl 0.000 0.000 0.000
Hg -3.976 -2.160 -2.127
Se -1.086 -2.283 0.933
Cd -2.720 1.179 -0.281
Cd -0.170 -1.055 -2.779
```

ΔE_f (raw), meV per atom: 266.7
V, A^3/atom: 38.23
E, eV per formula unit: -6.6
SG: P4/mmm (123)

***

# V2CdHgSe

A relaxed V2CdHgSe crystal (PBE, the Alexandria database).

extended XYZ file:
```
5
Lattice="5.236 0.000 0.000 0.000 5.178 0.000 0.000 0.000 5.236" Properties=species:S:1:pos:R:3 pbc="T T T"
V 0.000 0.000 2.618
V 2.618 0.000 0.000
Hg 0.000 0.000 0.000
Se 0.000 2.589 0.000
Cd 2.618 2.589 2.618
```

ΔE_f (raw), meV per atom: 1249.2
V, A^3/atom: 28.40
E, eV per formula unit: -16.7
SG: P4/mmm (123)

***

# Cd4SiHg

A relaxed Cd4SiHg crystal (PBE, the Alexandria database).

extended XYZ file:
```
6
Lattice="1.320 -5.673 0.241 1.445 -2.443 5.092 -3.655 -3.736 2.582" Properties=species:S:1:pos:R:3 pbc="T T T"
Cd 0.327 -7.282 3.089
Cd -2.162 -6.313 4.260
Cd 0.389 -5.666 5.515
Cd -0.334 -4.444 2.968
Si 0.000 0.000 0.000
Hg -0.667 -8.889 5.937
```

ΔE_f (raw), meV per atom: 336.8
V, A^3/atom: 23.35
E, eV per formula unit: -7.4
SG: F-43m (216)

***

# CdSiHg3

A relaxed CdSiHg3 crystal (PBE, the Alexandria database).

extended XYZ file:
```
5
Lattice="-3.890 -0.599 3.818 1.546 -5.206 0.759 3.542 1.615 3.862" Properties=species:S:1:pos:R:3 pbc="T T T"
Si 0.599 -2.095 4.219
Hg 0.773 -2.603 0.379
Hg 1.771 0.807 1.931
Hg -1.945 -0.299 1.909
Cd 0.000 0.000 0.000
```

ΔE_f (raw), meV per atom: 766.4
V, A^3/atom: 32.98
E, eV per formula unit: -3.4
SG: Pm-3m (221)

***

# CdSiHg2

A relaxed CdSiHg2 crystal (PBE, the Alexandria database).

extended XYZ file:
```
4
Lattice="6.192 0.178 0.175 5.460 2.927 0.175 2.062 0.550 5.336" Properties=species:S:1:pos:R:3 pbc="T T T"
Cd 3.428 0.914 1.422
Hg 2.167 0.578 5.291
Hg 6.752 1.800 2.889
Si 10.285 2.742 4.265
```

ΔE_f (raw), meV per atom: 318.6
V, A^3/atom: 22.62
E, eV per formula unit: -5.7
SG: C2/m (12)

***

# CdSiHg4

A relaxed CdSiHg4 crystal (PBE, the Alexandria database).

extended XYZ file:
```
6
Lattice="0.000 4.223 4.223 4.223 0.000 4.223 4.223 4.223 0.000" Properties=species:S:1:pos:R:3 pbc="T T T"
Cd 0.000 0.000 0.000
Si 6.334 6.334 6.334
Hg 3.168 5.277 5.277
Hg 5.277 5.277 3.168
Hg 5.277 3.168 5.277
Hg 3.168 3.168 3.168
```

ΔE_f (raw), meV per atom: 453.1
V, A^3/atom: 25.10
E, eV per formula unit: -4.8
SG: F-43m (216)

***

# CdSiHg2

A relaxed CdSiHg2 crystal (PBE, the Alexandria database).

extended XYZ file:
```
4
Lattice="2.893 0.000 0.000 0.000 5.643 0.000 0.000 0.000 5.556" Properties=species:S:1:pos:R:3 pbc="T T T"
Cd 0.000 2.821 2.778
Hg 0.000 0.000 0.000
Hg 1.446 2.821 0.000
Si 1.446 0.000 2.778
```

ΔE_f (raw), meV per atom: 331.6
V, A^3/atom: 22.67
E, eV per formula unit: -5.6
SG: Pmmm (47)

***

Which of these has the lowest ΔE_f (raw)? Cd2HgTe2Se

***

Which value of V does entry 7 give? 28.40 A^3/atom